[1]
The following is a DFT calculation (PBE-GGA) of CePr2Dy9 after structural relaxation.

Lattice parameters (Å, degrees): 5.046 5.046 15.139 90.00 90.00 90.00
Space group P4/mmm (No. 123)
Inequivalent atoms, fractional coordinates:
1 Ce 0.000 0.000 0.000
2 Pr 0.000 0.000 0.331
3 Dy 0.000 0.500 0.163
4 Dy 0.000 0.500 0.500
5 Dy 0.500 0.500 0.000
6 Dy 0.500 0.500 0.333

ΔH_f (0 K)   0.43 eV/f.u.


[2]
The following is a DFT calculation (PBE-GGA) of CePr2Dy after structural relaxation.

Lattice parameters (Å, degrees): 3.594 3.594 10.305 90.00 90.00 90.00
Space group P4/mmm (No. 123)
Inequivalent atoms, fractional coordinates:
1 Ce 0.000 0.000 0.000
2 Pr 0.500 0.500 0.245
3 Dy 0.000 0.000 0.500

E above lowest polymorph   0.000 eV per formula unit
ΔH_f (0 K)   0.28 eV/f.u.


[3]
The following is a DFT calculation (PBE-GGA) of CePrDy2 after structural relaxation.

Lattice parameters (Å, degrees): 3.569 3.569 10.052 90.00 90.00 90.00
Space group P4/mmm (No. 123)
Inequivalent atoms, fractional coordinates:
1 Ce 0.000 0.000 0.000
2 Pr 0.000 0.000 0.500
3 Dy 0.500 0.500 0.238

E above lowest polymorph   0.000 eV per formula unit
ΔH_f (0 K)   0.24 eV/f.u.